Entry 1:
Compound: USi3Pt2
Source: Alexandria via LeMat-Bulk
Functional: PBE
Structure: optimized geometry

abc: 7.792 7.792 7.139
angles: 107.23 107.23 30.56
Fractional coordinates of all 12 atoms:
U1 0.140 0.140 0.102
U2 0.860 0.860 0.898
Si1 0.026 0.026 0.668
Si2 0.336 0.336 0.556
Si3 0.343 0.343 0.185
Si4 0.657 0.657 0.815
Si5 0.664 0.664 0.444
Si6 0.974 0.974 0.332
Pt1 0.196 0.196 0.668
Pt2 0.491 0.491 0.805
Pt3 0.509 0.509 0.195
Pt4 0.804 0.804 0.332

Results
M_tot	2.027	μB per formula unit
energy	-86.1	eV per cell
space-group type	C2/m, No. 12
formation energy from raw total energies	-573	meV per atom

***

Entry 2:
Compound: CaTl4As
Source: Alexandria via LeMat-Bulk
Functional: PBE
Structure: optimized geometry

abc: 6.352 6.352 6.352
angles: 60.00 60.00 60.00
Fractional coordinates of all 6 atoms:
Ca1 0.000 0.000 0.000
Tl1 0.127 0.624 0.624
Tl2 0.624 0.127 0.624
Tl3 0.624 0.624 0.127
Tl4 0.624 0.624 0.624
As1 0.250 0.250 0.250

Results
M_tot	0.000	μB per formula unit
energy	-15.7	eV per cell
space-group type	F-43m, No. 216
ΔH_f (0 K)	0.077	eV/atom